The following is a PBE calculation of a relaxed structure of CeThSc2S4, from the Alexandria database.

Results
- Total energy: -7.202 eV/atom
- Symmetry: No. 10
- M_tot: 0.69 μB/cell
- Raw formation energy: -1.89 eV/atom

Geometry as POSCAR:
```
CeThSc2S4
1.0
-2.412 -0.237 -2.940
-3.117 -5.347 2.989
-4.862 2.255 3.808
Sc S Ce Th
2 4 1 1
direct
0.000 0.000 0.000
0.500 0.000 0.500
0.000 0.221 0.259
0.000 0.779 0.741
0.500 0.781 0.239
0.500 0.219 0.761
0.500 0.500 0.000
0.000 0.500 0.500
```